No. 1
Material: NaInHg6
Method: DFT, GGA-PBE
State: optimized geometry

For the distance to the lowest polymorph of the same formula, the calculation gives 0.03 eV/f.u. The total energy is -6.62 eV for the cell shown. The value obtained for the energy relative to the elements is -0.094 eV/atom.

a b c (Å): 4.9847 4.9847 8.4831
angles (deg): 90.00 90.00 90.00
Space group P4/mmm (No. 123)
Inequivalent atoms, fractional coordinates:
Na  0.0000  0.0000  0.0000 x1
In  0.0000  0.0000  0.5000 x1
Hg  0.0000  0.5000  0.2501 x4
Hg  0.5000  0.5000  0.0000 x1
Hg  0.5000  0.5000  0.5000 x1

=====

No. 2
Material: Er6AsRh2Se3
Method: DFT, GGA-PBE
State: optimized geometry

The total energy is -146.98 eV for the cell shown.

a b c (Å): 6.9152 12.0090 7.2596
angles (deg): 90.00 108.77 90.00
Space group C2/m (No. 12)
Inequivalent atoms, fractional coordinates:
Er  0.2325  0.0000  0.2307 x4
Er  0.2482  0.3271  0.2297 x8
As  0.0000  0.5000  0.0000 x2
Rh  0.0000  0.1668  0.0000 x4
Se  0.0000  0.0000  0.5000 x2
Se  0.0000  0.3378  0.5000 x4

=====

Short version: Fermi-level density of states = 2.99 12.91 states/eV/cell, in the order given.